Record 1
A relaxed structure of Ac4SiBi2I, computed with GGA-PBE.

Lattice parameters (Å, degrees): 4.7834 8.2259 8.3185 70.77 90.00 90.00
With the nearest neighbours (Å) after each atom.
Fractional coordinates of all 8 atoms:
Ac 0.0000 0.7486 0.7280  1 Si 3.21, 3 Bi 3.32-3.53, 2 I 3.46
Ac 0.0000 0.2514 0.2720  1 Si 3.21, 3 Bi 3.32-3.53, 2 I 3.46
Ac 0.5000 0.7364 0.2717  2 Si 3.27, 3 Bi 3.32-3.51, 1 I 3.43
Ac 0.5000 0.2636 0.7283  2 Si 3.27, 3 Bi 3.32-3.51, 1 I 3.43
Si 0.0000 0.5000 0.5000  6 Ac 3.21-3.27
Bi 0.0000 0.0000 0.0000  6 Ac 3.51-3.53
Bi 0.5000 0.0000 0.5000  6 Ac 3.32
I 0.5000 0.5000 0.0000  6 Ac 3.43-3.46

* uncorrected formation energy: -905 meV per atom
* total moment: 0.00 μB per formula unit



Record 2
A relaxed structure of Ac4SiBiI2, computed with GGA-PBE.

Lattice parameters (Å, degrees): 4.7090 8.2994 8.4115 71.12 90.00 90.00
With the nearest neighbours (Å) after each atom.
Fractional coordinates of all 8 atoms:
Ac 0.0000 0.7181 0.7331  1 Si 3.07, 2 Bi 3.35
Ac 0.0000 0.2819 0.2669  1 Si 3.07, 2 Bi 3.35
Ac 0.5000 0.7065 0.2868  2 Si 3.12, 1 Bi 3.38, 1 I 3.46
Ac 0.5000 0.2935 0.7132  2 Si 3.12, 1 Bi 3.38, 1 I 3.46
Si 0.0000 0.5000 0.5000  6 Ac 3.07-3.12
Bi 0.5000 0.5000 0.0000  6 Ac 3.35-3.38
I 0.0000 0.0000 0.0000  6 Ac 3.67-3.73
I 0.5000 0.0000 0.5000  6 Ac 3.45-3.46

* uncorrected formation energy: -956 meV per atom
* total moment: 0.00 μB per formula unit



Record 3
A relaxed structure of Ac6Si2BiI3, computed with GGA-PBE.

Lattice parameters (Å, degrees): 4.6845 9.6877 10.7323 104.24 102.61 90.00
With the nearest neighbours (Å) after each atom.
Fractional coordinates of all 12 atoms:
Ac 0.3320 0.8698 0.6640  2 Si 3.09, 1 Bi 3.43
Ac 0.6776 0.5587 0.3551  3 Si 3.11-3.14
Ac 0.6680 0.1302 0.3360  2 Si 3.09, 1 Bi 3.43
Ac 0.0197 0.2532 0.0393  1 Si 3.03, 2 Bi 3.34
Ac 0.9803 0.7468 0.9607  1 Si 3.03, 2 Bi 3.34
Ac 0.3224 0.4413 0.6449  3 Si 3.11-3.14
Si 0.8307 0.6616 0.6614  6 Ac 3.03-3.14
Si 0.1693 0.3384 0.3386  6 Ac 3.03-3.14
Bi 0.5000 0.0000 0.0000  6 Ac 3.34-3.43
I 0.5000 0.5000 0.0000  6 Ac 3.45-3.62
I 0.8382 0.1654 0.6764  6 Ac 3.49-3.68
I 0.1618 0.8346 0.3236  6 Ac 3.49-3.68

* uncorrected formation energy: -949 meV per atom
* total moment: 0.00 μB per formula unit



Record 4
A relaxed structure of AcSmBiI, computed with GGA-PBE.

Lattice parameters (Å, degrees): 5.7014 5.7014 5.7014 60.00 60.00 60.00
With the nearest neighbours (Å) after each atom.
Fractional coordinates of all 4 atoms:
I 0.0000 0.0000 0.0000  4 Ac 3.49, 4 Sm 3.49
Ac 0.7500 0.7500 0.7500  4 Bi 3.49, 4 I 3.49
Bi 0.5000 0.5000 0.5000  4 Ac 3.49, 4 Sm 3.49
Sm 0.2500 0.2500 0.2500  4 Bi 3.49, 4 I 3.49

* uncorrected formation energy: -854 meV per atom
* total moment: 0.00 μB per formula unit



Record 5
A relaxed structure of AcTlBiI, computed with GGA-PBE.

Lattice parameters (Å, degrees): 5.8652 5.8652 5.8652 60.00 60.00 60.00
With the nearest neighbours (Å) after each atom.
Fractional coordinates of all 4 atoms:
I 0.2500 0.2500 0.2500  4 Tl 3.59, 4 Ac 3.59
Ac 0.5000 0.5000 0.5000  4 I 3.59, 4 Bi 3.59
Bi 0.7500 0.7500 0.7500  4 Tl 3.59, 4 Ac 3.59
Tl 0.0000 0.0000 0.0000  4 Bi 3.59, 4 I 3.59

* uncorrected formation energy: -686 meV per atom
* total moment: 0.00 μB per formula unit



Record 6
A relaxed structure of AcYBiI, computed with GGA-PBE.

Lattice parameters (Å, degrees): 5.6800 5.6800 5.6800 60.00 60.00 60.00
With the nearest neighbours (Å) after each atom.
Fractional coordinates of all 4 atoms:
I 0.2500 0.2500 0.2500  4 Ac 3.48, 4 Y 3.48
Y 0.0000 0.0000 0.0000  4 I 3.48, 4 Bi 3.48
Ac 0.5000 0.5000 0.5000  4 Bi 3.48, 4 I 3.48
Bi 0.7500 0.7500 0.7500  4 Ac 3.48, 4 Y 3.48

* uncorrected formation energy: -795 meV per atom
* total moment: 0.86 μB per formula unit



Record 7
A relaxed structure of AcInBi3, computed with GGA-PBE.

Lattice parameters (Å, degrees): 5.5079 6.6062 9.9703 90.00 105.65 90.00
With the nearest neighbours (Å) after each atom.
Fractional coordinates of all 10 atoms:
Ac 0.8271 0.7500 0.6530  8 Bi 3.40-3.72
Ac 0.1729 0.2500 0.3470  8 Bi 3.40-3.72
In 0.3737 0.2500 0.7596  5 Bi 3.31-3.53
In 0.6263 0.7500 0.2404  5 Bi 3.31-3.53
Bi 0.5553 0.2500 0.1103  3 In 3.37-3.53, 4 Bi 3.38-3.39, 2 Ac 3.56-3.58
Bi 0.7807 0.2500 0.5674  2 In 3.31-3.32, 4 Ac 3.40-3.47
Bi 0.0000 0.0000 0.0000  6 Bi 3.30-3.39
Bi 0.4447 0.7500 0.8897  3 In 3.37-3.53, 4 Bi 3.38-3.39, 2 Ac 3.56-3.58
Bi 0.2193 0.7500 0.4326  2 In 3.31-3.32, 4 Ac 3.40-3.47
Bi 0.0000 0.5000 0.0000  6 Bi 3.30-3.39

* ΔE to the lowest computed polymorph: 0.107 eV per atom
* calculated formation energy: -0.268 eV/atom
* total moment: 0.00 μB per formula unit



Record 8
A relaxed structure of AcIn2Bi, computed with GGA-PBE.

Lattice parameters (Å, degrees): 4.1355 4.1355 7.3436 90.00 90.00 90.00
With the nearest neighbours (Å) after each atom.
Fractional coordinates of all 4 atoms:
Ac 0.5000 0.5000 0.5000  8 In 3.60, 2 Bi 3.67
Bi 0.5000 0.5000 0.0000  8 In 3.32, 2 Ac 3.67
In 0.0000 0.0000 0.7854  1 In 3.15, 4 Bi 3.32
In 0.0000 0.0000 0.2146  1 In 3.15, 4 Bi 3.32

* ΔE to the lowest computed polymorph: 0.190 eV per atom
* calculated formation energy: -0.278 eV/atom
* total moment: 0.00 μB per formula unit



Record 9
A relaxed structure of Ac2InBi5, computed with GGA-PBE.

Lattice parameters (Å, degrees): 5.1785 9.8403 10.3166 90.00 90.00 90.00
With the nearest neighbours (Å) after each atom.
Fractional coordinates of all 16 atoms:
Ac 0.5000 0.5000 0.2434  10 Bi 3.56-3.61, 2 In 3.70
Ac 0.5000 0.5000 0.7566  10 Bi 3.56-3.61, 2 In 3.70
Ac 0.5000 0.0000 0.7434  10 Bi 3.56-3.61, 2 In 3.70
Ac 0.5000 0.0000 0.2566  10 Bi 3.56-3.61, 2 In 3.70
In 0.0000 0.5000 0.5000  8 Bi 3.52-3.56, 4 Ac 3.70
In 0.0000 0.0000 0.0000  8 Bi 3.52-3.56, 4 Ac 3.70
Bi 0.0000 0.0000 0.5000  8 Bi 3.56-3.62, 4 Ac 3.61
Bi 0.0000 0.5000 0.0000  8 Bi 3.56-3.62, 4 Ac 3.61
Bi 0.0000 0.7500 0.2500  6 Bi 3.56-3.66, 2 In 3.56, 4 Ac 3.57
Bi 0.0000 0.2500 0.7500  6 Bi 3.56-3.66, 2 In 3.56, 4 Ac 3.57
Bi 0.0000 0.7500 0.7500  6 Bi 3.56-3.66, 2 In 3.56, 4 Ac 3.57
Bi 0.0000 0.2500 0.2500  6 Bi 3.56-3.66, 2 In 3.56, 4 Ac 3.57
Bi 0.5000 0.7424 0.5000  2 In 3.52, 4 Ac 3.56-3.57, 6 Bi 3.62-3.66
Bi 0.5000 0.2576 0.5000  2 In 3.52, 4 Ac 3.56-3.57, 6 Bi 3.62-3.66
Bi 0.5000 0.7576 0.0000  2 In 3.52, 4 Ac 3.56-3.57, 6 Bi 3.62-3.66
Bi 0.5000 0.2424 0.0000  2 In 3.52, 4 Ac 3.56-3.57, 6 Bi 3.62-3.66

* calculated formation energy: -0.514 eV/atom
* total moment: 0.00 μB per formula unit



Record 10
A relaxed structure of AcInBi2, computed with GGA-PBE.

Lattice parameters (Å, degrees): 4.7629 4.7629 7.9606 72.59 72.59 60.00
With the nearest neighbours (Å) after each atom.
Fractional coordinates of all 4 atoms:
Ac 0.5000 0.5000 0.5000  6 Bi 3.45
Bi 0.2593 0.2593 0.2220  3 In 3.21, 3 Ac 3.45
Bi 0.7407 0.7407 0.7780  3 In 3.21, 3 Ac 3.45
In 0.0000 0.0000 0.0000  6 Bi 3.21

* ΔE to the lowest computed polymorph: 0.237 eV per atom
* calculated formation energy: -0.271 eV/atom
* total moment: 0.00 μB per formula unit



Record 11
A relaxed structure of AcInBi2, computed with GGA-PBE.

Lattice parameters (Å, degrees): 4.8770 5.1423 5.1423 90.00 90.00 90.00
With the nearest neighbours (Å) after each atom.
Fractional coordinates of all 4 atoms:
Ac 0.5000 0.5000 0.5000  8 Bi 3.54, 4 In 3.64
Bi 0.0000 0.0000 0.5000  4 Ac 3.54, 4 In 3.54, 4 Bi 3.64
Bi 0.0000 0.5000 0.0000  4 Ac 3.54, 4 In 3.54, 4 Bi 3.64
In 0.5000 0.0000 0.0000  8 Bi 3.54, 4 Ac 3.64

* ΔE to the lowest computed polymorph: 0.000 eV per atom
* calculated formation energy: -0.508 eV/atom
* total moment: 0.00 μB per formula unit



Record 12
A relaxed structure of AcIn2Bi, computed with GGA-PBE.

Lattice parameters (Å, degrees): 5.2704 5.2704 6.2646 65.12 65.12 60.00
With the nearest neighbours (Å) after each atom.
Fractional coordinates of all 4 atoms:
Ac 0.5000 0.5000 0.5000  8 In 3.52-3.70
Bi 0.0000 0.0000 0.0000  6 In 3.19
In 0.2747 0.2747 0.1758  3 Bi 3.19, 3 Ac 3.52
In 0.7253 0.7253 0.8242  3 Bi 3.19, 3 Ac 3.52

* ΔE to the lowest computed polymorph: 0.189 eV per atom
* calculated formation energy: -0.280 eV/atom
* total moment: 0.00 μB per formula unit



Record 13
A relaxed structure of AcIn2Bi, computed with GGA-PBE.

Lattice parameters (Å, degrees): 5.0187 4.9821 4.9821 90.00 90.00 90.00
With the nearest neighbours (Å) after each atom.
Fractional coordinates of all 4 atoms:
Ac 0.5000 0.5000 0.5000  4 Bi 3.52, 8 In 3.54
Bi 0.5000 0.0000 0.0000  4 Ac 3.52, 8 In 3.54
In 0.0000 0.0000 0.5000  4 In 3.52, 4 Ac 3.54, 4 Bi 3.54
In 0.0000 0.5000 0.0000  4 In 3.52, 4 Ac 3.54, 4 Bi 3.54

* ΔE to the lowest computed polymorph: 0.000 eV per atom
* calculated formation energy: -0.468 eV/atom
* total moment: 0.00 μB per formula unit



Record 14
A relaxed structure of AcIn2Bi, computed with GGA-PBE.

Lattice parameters (Å, degrees): 5.6670 5.6670 5.6670 60.00 60.00 60.00
With the nearest neighbours (Å) after each atom.
Fractional coordinates of all 4 atoms:
Ac 0.0000 0.0000 0.0000  8 In 3.47
Bi 0.5000 0.5000 0.5000  8 In 3.47
In 0.2500 0.2500 0.2500  4 Bi 3.47, 4 Ac 3.47
In 0.7500 0.7500 0.7500  4 Ac 3.47, 4 Bi 3.47

* ΔE to the lowest computed polymorph: 0.224 eV per atom
* calculated formation energy: -0.244 eV/atom
* total moment: 0.00 μB per formula unit



Record 15
A relaxed structure of Ac2In3Bi3, computed with GGA-PBE.

Lattice parameters (Å, degrees): 5.0985 5.0073 9.9525 90.00 90.00 90.00
With the nearest neighbours (Å) after each atom.
Fractional coordinates of all 8 atoms:
Ac 0.0000 0.0000 0.7456  6 Bi 3.50-3.56, 6 In 3.58-3.59
Ac 0.0000 0.0000 0.2544  6 Bi 3.50-3.56, 6 In 3.58-3.59
In 0.5000 0.5000 0.7647  2 In 3.43, 6 Bi 3.46-3.67, 4 Ac 3.58
In 0.5000 0.5000 0.2353  2 In 3.43, 6 Bi 3.46-3.67, 4 Ac 3.58
In 0.5000 0.0000 0.0000  4 In 3.43, 4 Bi 3.57, 4 Ac 3.59
Bi 0.5000 0.0000 0.5000  4 Ac 3.53, 4 Bi 3.57, 4 In 3.63
Bi 0.0000 0.5000 0.0000  8 In 3.46-3.57, 4 Ac 3.56
Bi 0.0000 0.5000 0.5000  4 Ac 3.50, 4 Bi 3.57, 4 In 3.67

* calculated formation energy: -0.487 eV/atom
* total moment: 0.00 μB per formula unit



Record 16
A relaxed structure of Ac2InBi4, computed with GGA-PBE.

Lattice parameters (Å, degrees): 4.7594 4.7594 11.0850 90.00 90.00 90.00
With the nearest neighbours (Å) after each atom.
Fractional coordinates of all 7 atoms:
Ac 0.5000 0.0000 0.7399  8 Bi 3.51-3.57, 2 In 3.74
Ac 0.0000 0.5000 0.2601  8 Bi 3.51-3.57, 2 In 3.74
In 0.5000 0.5000 0.0000  4 Bi 3.04
Bi 0.5000 0.0000 0.1703  2 In 3.04
Bi 0.0000 0.5000 0.8297  2 In 3.04
Bi 0.5000 0.5000 0.5000  4 Bi 3.37, 4 Ac 3.57
Bi 0.0000 0.0000 0.5000  4 Bi 3.37, 4 Ac 3.57

* calculated formation energy: -0.569 eV/atom
* total moment: 0.00 μB per formula unit



Record 17
A relaxed structure of AcInBi4, computed with GGA-PBE.

Lattice parameters (Å, degrees): 5.8878 6.8460 10.4819 70.94 90.00 90.00
With the nearest neighbours (Å) after each atom.
Fractional coordinates of all 12 atoms:
Ac 0.7500 0.6192 0.2617  2 In 3.42, 8 Bi 3.71-3.77
Ac 0.2500 0.3808 0.7383  2 In 3.42, 8 Bi 3.71-3.77
In 0.7500 0.1169 0.2662  2 Ac 3.42, 8 Bi 3.63-3.77
In 0.2500 0.8831 0.7338  2 Ac 3.42, 8 Bi 3.63-3.77
Bi 0.2500 0.8077 0.4024  5 Bi 3.25-3.54, 2 In 3.63
Bi 0.2500 0.9573 0.0747  5 Bi 3.25-3.50
Bi 0.7500 0.7100 0.5976  5 Bi 3.25-3.54, 2 In 3.63
Bi 0.7500 0.5319 0.9253  5 Bi 3.25-3.50
Bi 0.7500 0.1923 0.5976  5 Bi 3.25-3.54, 2 In 3.63
Bi 0.2500 0.2900 0.4024  5 Bi 3.25-3.54, 2 In 3.63
Bi 0.7500 0.0427 0.9253  5 Bi 3.25-3.50
Bi 0.2500 0.4681 0.0747  5 Bi 3.25-3.50

* ΔE to the lowest computed polymorph: 0.000 eV per atom
* calculated formation energy: -0.254 eV/atom
* total moment: 0.00 μB per formula unit



Record 18
A relaxed structure of Ac2In5Bi5, computed with GGA-PBE.

Lattice parameters (Å, degrees): 5.0461 9.6644 9.0824 69.38 73.93 74.83
With the nearest neighbours (Å) after each atom.
Fractional coordinates of all 12 atoms:
Ac 0.8496 0.5331 0.7689  5 In 3.45-3.74, 5 Bi 3.52-3.64
Ac 0.1504 0.4669 0.2311  5 In 3.45-3.74, 5 Bi 3.52-3.64
In 0.9188 0.8014 0.3596  1 In 3.13, 3 Bi 3.16-3.48
In 0.2029 0.7622 0.8304  1 In 3.01, 4 Bi 3.18-3.37
In 0.7971 0.2378 0.1696  1 In 3.01, 4 Bi 3.18-3.37
In 0.0812 0.1986 0.6404  1 In 3.13, 3 Bi 3.16-3.48
In 0.0000 0.0000 0.0000  4 In 3.01-3.13
Bi 0.5000 0.5000 0.5000  4 Ac 3.52, 2 Bi 3.59, 4 In 3.70
Bi 0.4158 0.2609 0.9079  6 In 3.37-3.60, 2 Ac 3.52-3.53, 1 Bi 3.59
Bi 0.2972 0.0575 0.3536  5 In 3.16-3.48, 1 Bi 3.50
Bi 0.7028 0.9425 0.6464  5 In 3.16-3.48, 1 Bi 3.50
Bi 0.5842 0.7391 0.0921  6 In 3.37-3.60, 2 Ac 3.52-3.53, 1 Bi 3.59

* calculated formation energy: -0.264 eV/atom
* total moment: 0.00 μB per formula unit



Record 19
A relaxed structure of AcInBi4, computed with GGA-PBE.

Lattice parameters (Å, degrees): 6.6342 6.6342 6.6342 60.00 60.00 60.00
With the nearest neighbours (Å) after each atom.
Fractional coordinates of all 6 atoms:
Ac 0.2500 0.2500 0.2500  12 Bi 3.89, 4 In 4.06
Bi 0.6260 0.6260 0.1221  6 Bi 3.29-3.34
Bi 0.6260 0.1221 0.6260  6 Bi 3.29-3.34
Bi 0.6260 0.6260 0.6260  6 Bi 3.29-3.34
Bi 0.1221 0.6260 0.6260  6 Bi 3.29-3.34
In 0.0000 0.0000 0.0000  12 Bi 3.89, 4 Ac 4.06

* ΔE to the lowest computed polymorph: 0.065 eV per atom
* calculated formation energy: -0.189 eV/atom
* total moment: 0.00 μB per formula unit



Record 20
A relaxed structure of AcIn3Bi3, computed with GGA-PBE.

Lattice parameters (Å, degrees): 8.3522 8.3522 8.3522 90.00 90.00 90.00
With the nearest neighbours (Å) after each atom.
Fractional coordinates of all 14 atoms:
Ac 0.5000 0.5000 0.5000  12 In 4.67, 12 Bi 4.67
Ac 0.0000 0.0000 0.0000  12 In 4.67, 12 Bi 4.67
Bi 0.0000 0.2500 0.5000  4 In 2.95
Bi 0.0000 0.7500 0.5000  4 In 2.95
Bi 0.5000 0.0000 0.7500  4 In 2.95
Bi 0.7500 0.5000 0.0000  4 In 2.95
Bi 0.5000 0.0000 0.2500  4 In 2.95
Bi 0.2500 0.5000 0.0000  4 In 2.95
In 0.2500 0.0000 0.5000  4 Bi 2.95
In 0.0000 0.5000 0.2500  4 Bi 2.95
In 0.5000 0.7500 0.0000  4 Bi 2.95
In 0.7500 0.0000 0.5000  4 Bi 2.95
In 0.0000 0.5000 0.7500  4 Bi 2.95
In 0.5000 0.2500 0.0000  4 Bi 2.95

* ΔE to the lowest computed polymorph: 0.254 eV per atom
* calculated formation energy: 0.249 eV/atom
* total moment: 0.00 μB per formula unit